# Tm4SiPt3 PBE optimized geometry
# SG: Pmm2 (25)
# Total magnetization: 0.0 μB per formula unit
# Uncorrected energy: -6.362 eV/atom
data_Tm4SiPt3
_symmetry_space_group_name_H-M 'P 1'
_symmetry_Int_Tables_number 1
_symmetry_space_group_name_Hall 'P 1'
_cell_length_a 3.835
_cell_length_b 4.234
_cell_length_c 10.605
_cell_angle_alpha 90.00
_cell_angle_beta 90.00
_cell_angle_gamma 90.00
loop_
_atom_site_label
_atom_site_type_symbol
_atom_site_fract_x
_atom_site_fract_y
_atom_site_fract_z
Tm1 Tm 0.000 0.000 0.000
Tm2 Tm 0.000 0.500 0.281
Tm3 Tm 0.500 0.000 0.500
Tm4 Tm 0.500 0.500 0.786
Si1 Si 0.500 0.000 0.219
Pt1 Pt 0.000 0.000 0.730
Pt2 Pt 0.000 0.500 0.550
Pt3 Pt 0.500 0.500 0.065